# Sr4LaRh2 PBE relaxed
data_Sr4LaRh2
_space_group_name_H-M_alt 'P 1'
_space_group_IT_number 1
_cell_length_a 6.162
_cell_length_b 6.162
_cell_length_c 8.510
_cell_angle_alpha 68.78
_cell_angle_beta 68.78
_cell_angle_gamma 90.00
loop_
_space_group_symop_operation_xyz
'x,y,z'
loop_
_atom_site_label
_atom_site_fract_x
_atom_site_fract_y
_atom_site_fract_z
Sr1 0.761 0.761 0.478
Sr2 0.239 0.239 0.522
Sr3 0.000 0.500 0.000
Sr4 0.500 0.000 0.000
Rh1 0.585 0.585 0.830
Rh2 0.415 0.415 0.170
La1 0.000 0.000 0.000
# Spin magnetization   1.86 μB/cell
# DFT formation energy   0.601 eV/atom
# Symmetry   I4/mmm (139)
# Total DFT energy (no corrections)   -22.2 eV for the cell shown